# 1
Th2Zn16Au | GGA-PBE | relaxed

It has space group R3m (No. 160, hexagonal axes), with a = 9.0795 Å, b = 9.0795 Å, c = 13.3097 Å, α = 90.00°, β = 90.00° and γ = 120.00°. The inequivalent atoms are Th at (0.0000, 0.0000, 0.0000), Th at (0.0000, 0.0000, 0.3230), Zn at (0.0000, 0.0000, 0.5588), Zn at (0.0002, 0.2921, 0.6614), Zn at (0.0034, 0.5017, 0.1612), Zn at (0.0079, 0.5039, 0.8139), Zn at (0.1712, 0.3423, 0.8418) and Au at (0.0000, 0.0000, 0.7634).

As for the energy of formation: -0.244 eV per atom. The volume is 950 Å³/cell. As for the density: 8.95 g cm⁻³.

# 2
SrTmHgAu | GGA-PBE | relaxed

It has space group F-43m (No. 216), with a = 7.4981 Å, b = 7.4981 Å, c = 7.4981 Å, α = 90.00°, β = 90.00° and γ = 90.00°. The inequivalent atoms are Sr at (0.0000, 0.0000, 0.0000), Tm at (0.0000, 0.0000, 0.5000), Hg at (0.2500, 0.2500, 0.2500) and Au at (0.2500, 0.2500, 0.7500).

As for the energy of formation: -0.554 eV per atom. The volume is 422 Å³/cell. As for the density: 10.31 g cm⁻³.

# 3
HoCdSnHg | GGA-PBE | relaxed

It has space group F-43m (No. 216), with a = 7.3534 Å, b = 7.3534 Å, c = 7.3534 Å, α = 90.00°, β = 90.00° and γ = 90.00°. The inequivalent atoms are Ho at (0.0000, 0.0000, 0.0000), Cd at (0.0000, 0.0000, 0.5000), Sn at (0.2500, 0.2500, 0.7500) and Hg at (0.2500, 0.2500, 0.2500).

As for the energy of formation: -0.252 eV per atom. The volume is 398 Å³/cell. The offset from the most stable computed form is 15.3 kJ per mole of atoms. As for the density: 9.97 g cm⁻³.

# 4
NdAlTl2 | GGA-PBE | relaxed

It has space group R-3m (No. 166, hexagonal axes), with a = 3.4885 Å, b = 3.4885 Å, c = 33.4772 Å, α = 90.00°, β = 90.00° and γ = 120.00°. The inequivalent atoms are Nd at (0.0000, 0.0000, 0.0000), Al at (0.0000, 0.0000, 0.5000) and Tl at (0.0000, 0.0000, 0.0961).

As for the energy of formation: 0.216 eV per atom. The volume is 353 Å³/cell. The offset from the most stable computed form is 45.4 kJ per mole of atoms. As for the density: 8.19 g cm⁻³.

# 5
NiP | GGA-PBE | relaxed

It has space group P6_3/m (No. 176), with a = 8.0852 Å, b = 8.0852 Å, c = 3.7724 Å, α = 90.00°, β = 90.00° and γ = 120.00°. The inequivalent atoms are Ni at (0.0607, 0.6291, 0.2500) and P at (0.0748, 0.3657, 0.2500).

As for the energy of formation: -0.161 eV per atom. The volume is 214 Å³/cell. As for the density: 4.18 g cm⁻³.

# 6
MnCdHgAu | GGA-PBE | relaxed

It has space group F-43m (No. 216), with a = 6.7247 Å, b = 6.7247 Å, c = 6.7247 Å, α = 90.00°, β = 90.00° and γ = 90.00°. The inequivalent atoms are Mn at (0.0000, 0.0000, 0.0000), Cd at (0.0000, 0.0000, 0.5000), Hg at (0.2500, 0.2500, 0.2500) and Au at (0.2500, 0.2500, 0.7500).

As for the energy of formation: 0.074 eV per atom. The volume is 304 Å³/cell. As for the density: 12.34 g cm⁻³.

Look up the energy of formation of the second one. -0.554 eV per atom